Entry 1:
The following is a DFT calculation (meta-GGA SCAN) of TlFeW2 at its PBEsol-relaxed geometry.

Structure (POSCAR):
```
TlFeW2
1.0
-1.736 2.509 2.597
-3.431 -2.045 -0.319
3.685 -2.543 1.829
W Tl Fe
2 1 1
Direct
0.750 0.250 0.500
0.000 0.000 0.000
0.250 0.750 0.500
0.500 0.500 0.000
```

Values from the calculation:
Symmetry: I-4m2
Crystal system: tetragonal
Polymorph energy (0 for the lowest one) (kcal/mol of atoms): 3.31
Calculated density (g cm⁻³): 16.566


Entry 2:
The following is a DFT calculation (meta-GGA SCAN) of Y3TlFe at its PBEsol-relaxed geometry.

Structure (POSCAR):
```
Y3TlFe
1.0
5.594 0.000 0.000
0.000 5.594 0.000
0.000 0.000 5.594
Tl Y Fe
1 3 1
Direct
0.000 0.000 0.000
0.000 0.500 0.000
0.500 0.000 0.000
0.000 0.000 0.500
0.500 0.500 0.500
```

Values from the calculation:
Symmetry: Pm-3m
Crystal system: cubic
Calculated density (g cm⁻³): 5.000


Entry 3:
The following is a DFT calculation (meta-GGA SCAN) of YTl2Fe at its PBEsol-relaxed geometry.

Structure (POSCAR):
```
YTl2Fe
1.0
4.365 0.000 0.000
0.000 4.365 0.000
-2.182 -2.182 4.615
Y Tl Fe
1 2 1
Direct
0.500 0.500 0.000
0.750 0.250 0.500
0.000 0.000 0.000
0.250 0.750 0.500
```

Values from the calculation:
Symmetry: I-4m2
Crystal system: tetragonal
Polymorph energy (0 for the lowest one) (kcal/mol of atoms): 1.10
Calculated density (g cm⁻³): 10.454


Entry 4:
The following is a DFT calculation (meta-GGA SCAN) of YTl2Fe at its PBEsol-relaxed geometry.

Structure (POSCAR):
```
YTl2Fe
1.0
-0.551 -1.156 -3.200
-0.764 -3.118 1.257
-6.797 1.865 0.497
Y Tl Fe
1 2 1
Direct
0.500 0.500 0.000
0.000 0.000 0.288
0.000 0.000 0.712
0.500 0.500 0.500
```

Values from the calculation:
Symmetry: P4/mmm
Crystal system: tetragonal
Polymorph energy (0 for the lowest one) (kcal/mol of atoms): 0.00
Calculated density (g cm⁻³): 10.947


Entry 5:
The following is a DFT calculation (meta-GGA SCAN) of YTlFe2 at its PBEsol-relaxed geometry.

Structure (POSCAR):
```
YTlFe2
1.0
3.160 0.000 0.000
0.000 3.160 0.000
0.000 0.000 7.121
Tl Fe Y
1 2 1
Direct
0.000 0.000 0.450
0.500 0.500 0.203
0.000 0.000 0.055
0.500 0.500 0.792
```

Values from the calculation:
Symmetry: P4mm
Crystal system: tetragonal
Calculated density (g cm⁻³): 9.456


Entry 6:
The following is a DFT calculation (meta-GGA SCAN) of Tl2ZnFe at its PBEsol-relaxed geometry.

Structure (POSCAR):
```
Tl2ZnFe
1.0
3.059 0.000 0.000
0.000 3.059 0.000
0.000 0.000 8.475
Fe Tl Zn
1 2 1
Direct
0.500 0.500 0.714
0.500 0.500 0.285
0.000 0.000 0.943
0.000 0.000 0.558
```

Values from the calculation:
Symmetry: P4mm
Crystal system: tetragonal
Polymorph energy (0 for the lowest one) (kcal/mol of atoms): 0.00
Calculated density (g cm⁻³): 11.100


Entry 7:
The following is a DFT calculation (meta-GGA SCAN) of Tl2ZnFe at its PBEsol-relaxed geometry.

Structure (POSCAR):
```
Tl2ZnFe
1.0
-2.399 -0.417 -2.060
-2.100 -2.357 0.454
-6.530 4.476 4.229
Zn Tl Fe
1 2 1
Direct
0.500 0.500 0.500
0.747 0.747 0.760
0.253 0.253 0.240
0.000 0.000 0.000
```

Values from the calculation:
Symmetry: R-3m
Crystal system: trigonal
Polymorph energy (0 for the lowest one) (kcal/mol of atoms): 2.96
Calculated density (g cm⁻³): 11.374


Entry 8:
The following is a DFT calculation (meta-GGA SCAN) of Zr2TlFe at its PBEsol-relaxed geometry.

Structure (POSCAR):
```
Zr2TlFe
1.0
-3.111 -0.934 0.020
1.349 -4.494 0.054
0.894 2.778 4.950
Zr Fe Tl
2 1 1
Direct
0.003 0.003 0.005
0.793 0.293 0.585
0.492 0.492 0.985
0.212 0.712 0.425
```

Values from the calculation:
Symmetry: Imm2
Crystal system: orthorhombic
Polymorph energy (0 for the lowest one) (kcal/mol of atoms): 1.53
Calculated density (g cm⁻³): 9.669


Entry 9:
The following is a DFT calculation (meta-GGA SCAN) of Zr2TlFe at its PBEsol-relaxed geometry.

Structure (POSCAR):
```
Zr2TlFe
1.0
-0.209 -3.041 -0.240
0.176 -0.252 3.042
-7.951 0.506 0.502
Zr Fe Tl
2 1 1
Direct
0.000 0.000 0.799
0.000 0.000 0.201
0.500 0.500 0.000
0.500 0.500 0.500
```

Values from the calculation:
Symmetry: P4/mmm
Crystal system: tetragonal
Polymorph energy (0 for the lowest one) (kcal/mol of atoms): 0.00
Calculated density (g cm⁻³): 9.849


Entry 10:
The following is a DFT calculation (meta-GGA SCAN) of ZrTlFe at its PBEsol-relaxed geometry.

Structure (POSCAR):
```
ZrTlFe
1.0
-0.478 2.711 3.622
-1.444 -1.722 3.955
2.874 -0.363 3.508
Fe Tl Zr
1 1 1
Direct
0.000 0.000 0.000
0.500 0.500 0.500
0.250 0.250 0.250
```

Values from the calculation:
Symmetry: F-43m
Crystal system: cubic
Calculated density (g cm⁻³): 8.766


Entry 11:
The following is a DFT calculation (meta-GGA SCAN) of ZrTlFe at its PBEsol-relaxed geometry.

Structure (POSCAR):
```
ZrTlFe
1.0
4.373 0.000 0.000
2.186 3.787 0.000
2.186 1.262 3.570
Zr Tl Fe
1 1 1
Direct
0.500 0.500 0.500
0.000 0.000 0.000
0.250 0.250 0.250
```

Values from the calculation:
Symmetry: F-43m
Crystal system: cubic
Calculated density (g cm⁻³): 9.871


Entry 12:
The following is a DFT calculation (meta-GGA SCAN) of Tm6Fe23 at its PBEsol-relaxed geometry.

Structure (POSCAR):
```
Tm6Fe23
1.0
8.210 0.000 0.000
4.105 7.110 0.000
4.105 2.370 6.703
Fe Tm
23 6
Direct
0.000 0.000 0.500
0.878 0.878 0.365
0.365 0.878 0.878
0.500 0.500 0.000
0.000 0.000 0.000
0.326 0.326 0.023
0.674 0.674 0.977
0.000 0.500 0.500
0.977 0.674 0.674
0.635 0.122 0.122
0.500 0.000 0.500
0.878 0.365 0.878
0.122 0.635 0.122
0.674 0.977 0.674
0.023 0.326 0.326
0.000 0.500 0.000
0.122 0.122 0.635
0.326 0.023 0.326
0.122 0.122 0.122
0.674 0.674 0.674
0.326 0.326 0.326
0.878 0.878 0.878
0.500 0.000 0.000
0.292 0.708 0.292
0.708 0.292 0.708
0.292 0.708 0.708
0.708 0.292 0.292
0.708 0.708 0.292
0.292 0.292 0.708
```

Values from the calculation:
Symmetry: Fm-3m
Crystal system: cubic
Calculated density (g cm⁻³): 9.753


What are the ΔH_f (0 K) values for these records? In order: 778.5, 728.7, 58.9, 11.1, 62.4, 347.9, 476.4, -58.9, -125.2, 697.7, 136.9, -61.9 meV per atom.